Record 1
Here is a geometry-optimized IClF3 structure from Alexandria. Energies are from PBE.

Computed properties:
Its crystal system is tetragonal. The value obtained for the distance to the lowest polymorph of the same formula is 0.159 eV/atom. Its total magnetization is 0.201 μB/atom.

a = 6.781 Å, b = 6.781 Å, c = 10.945 Å
α = 90.00°, β = 90.00°, γ = 90.00°
Positions (direct):
I (0.075, 0.616, 0.000)
I (0.384, 0.075, 0.250)
I (0.616, 0.925, 0.750)
I (0.925, 0.384, 0.500)
Cl (0.234, 0.482, 0.611)
Cl (0.482, 0.766, 0.361)
Cl (0.518, 0.234, 0.861)
Cl (0.766, 0.518, 0.111)
F (0.000, 0.394, 0.904)
F (0.000, 0.606, 0.404)
F (0.091, 0.226, 0.382)
F (0.218, 0.430, 0.103)
F (0.226, 0.909, 0.132)
F (0.394, 0.000, 0.654)
F (0.430, 0.782, 0.853)
F (0.570, 0.218, 0.353)
F (0.606, 0.000, 0.154)
F (0.774, 0.091, 0.632)
F (0.782, 0.570, 0.603)
F (0.909, 0.774, 0.882)

---

Record 2
Here is a geometry-optimized CeZnGe2Au structure from Alexandria. Energies are from PBE.

Computed properties:
Its crystal system is tetragonal. Its total magnetization is 0.182 μB/atom. The energy of formation from the pure elements comes out at -0.46 eV/atom.

a = 4.208 Å, b = 4.208 Å, c = 11.322 Å
α = 90.00°, β = 90.00°, γ = 90.00°
Positions (direct):
Ce (0.000, 0.000, 0.000)
Ce (0.500, 0.500, 0.500)
Zn (0.000, 0.500, 0.250)
Zn (0.500, 0.000, 0.750)
Ge (0.000, 0.000, 0.389)
Ge (0.000, 0.000, 0.611)
Ge (0.500, 0.500, 0.111)
Ge (0.500, 0.500, 0.889)
Au (0.000, 0.500, 0.750)
Au (0.500, 0.000, 0.250)